Entry 1:
MgNbFeSi: optimized geometry, GGA-PBE.

Cell: 4.3041 4.3041 4.3041 Å, 60.00 60.00 60.00°
With the nearest neighbours (Å) after each atom.
Positions (direct):
Mg1 0.0000 0.0000 0.0000  4 Nb 2.64, 4 Si 2.64
Nb1 0.7500 0.7500 0.7500  4 Mg 2.64, 4 Fe 2.64
Fe1 0.5000 0.5000 0.5000  4 Nb 2.64, 4 Si 2.64
Si1 0.2500 0.2500 0.2500  4 Fe 2.64, 4 Mg 2.64

Results
offset from the most stable computed form = 0.0 kJ per mole of atoms
M_tot = 0.87 μB/f.u.

---

Entry 2:
HoEr2O3: optimized geometry, GGA-PBE.

Cell: 3.3581 3.3581 8.2251 Å, 90.00 90.00 120.00°
With the nearest neighbours (Å) after each atom.
Positions (direct):
Ho1 0.0000 0.0000 0.0000  6 O 2.39
Er1 0.3333 0.6667 0.6668  6 O 2.36-2.38
Er2 0.6667 0.3333 0.3332  6 O 2.36-2.38
O1 0.0000 0.0000 0.5000  6 Er 2.38
O2 0.3333 0.6667 0.1689  3 Er 2.36, 3 Ho 2.39
O3 0.6667 0.3333 0.8311  3 Er 2.36, 3 Ho 2.39

Results
M_tot = 0.02 μB/f.u.

---

Entry 3:
CsAgF2: optimized geometry, GGA-PBE.

Cell: 3.8470 3.8470 5.3679 Å, 90.00 90.00 90.00°
With the nearest neighbours (Å) after each atom.
Positions (direct):
Cs1 0.0000 0.0000 0.0000  6 F 2.68-2.72
Ag1 0.5000 0.5000 0.5000  6 F 2.68-2.72
F1 0.0000 0.0000 0.5000  2 Cs 2.68, 4 Ag 2.72
F2 0.5000 0.5000 0.0000  2 Ag 2.68, 4 Cs 2.72

Results
offset from the most stable computed form = 17.4 kJ per mole of atoms

---

Entry 4:
TaZn2Co: optimized geometry, GGA-PBE.

Cell: 4.2724 4.2724 4.2724 Å, 60.00 60.00 60.00°
With the nearest neighbours (Å) after each atom.
Positions (direct):
Ta1 0.0000 0.0000 0.0000  4 Co 2.62, 4 Zn 2.62
Zn1 0.2500 0.2500 0.2500  4 Ta 2.62, 4 Zn 2.62
Zn2 0.5000 0.5000 0.5000  4 Co 2.62, 4 Zn 2.62
Co1 0.7500 0.7500 0.7500  4 Ta 2.62, 4 Zn 2.62

Results
offset from the most stable computed form = 0.0 kJ per mole of atoms
ΔH_f (0 K) = -41 meV per atom
M_tot = 0.02 μB/f.u.

---

Entry 5:
Cu2Ag3: optimized geometry, GGA-PBE.

Cell: 9.7800 9.7800 5.7408 Å, 98.28 98.28 16.58°
With the nearest neighbours (Å) after each atom.
Positions (direct):
Cu1 0.0000 0.0000 0.0000  5 Cu 2.55-2.82, 6 Ag 2.67-2.76
Cu2 0.0015 0.0015 0.4539  5 Cu 2.56-2.82, 6 Ag 2.68-2.77
Cu3 0.2025 0.2025 0.0750  10 Ag 2.78-2.92, 2 Cu 2.82
Cu4 0.4125 0.4125 0.1847  6 Cu 2.55-2.82, 5 Ag 2.80-2.85
Ag1 0.2035 0.2035 0.5847  2 Cu 2.82-2.92, 10 Ag 2.82-2.90
Ag2 0.4148 0.4148 0.6826  6 Cu 2.67-2.89, 6 Ag 2.82-2.90
Ag3 0.5937 0.5937 0.7770  6 Cu 2.76-2.88, 6 Ag 2.81-2.94
Ag4 0.6012 0.6012 0.2698  6 Cu 2.71-2.78, 6 Ag 2.81-2.94
Ag5 0.8077 0.8077 0.3711  8 Ag 2.75-2.99, 4 Cu 2.81-2.83
Ag6 0.8088 0.8088 0.8918  8 Ag 2.75-2.99, 4 Cu 2.80-2.82

Results
offset from the most stable computed form = 4.6 kJ per mole of atoms
ΔH_f (0 K) = 80 meV per atom

---

Entry 6:
Sn8Ir2S: optimized geometry, GGA-PBE.

Cell: 10.3387 10.3387 9.9464 Å, 90.00 90.00 90.00°
With the nearest neighbours (Å) after each atom.
Positions (direct):
Sn1 0.0000 0.0000 0.1882  10 Sn 3.10-3.47, 2 Ir 3.47
Sn2 0.0000 0.0000 0.8118  10 Sn 3.10-3.47, 2 Ir 3.47
Sn3 0.0225 0.3005 0.3205  2 Ir 2.68-2.79, 1 S 2.74
Sn4 0.0225 0.3005 0.6795  2 Ir 2.68-2.79, 1 S 2.74
Sn5 0.1057 0.8943 0.5000  6 Sn 3.00-3.29, 2 Ir 3.03
Sn6 0.1690 0.1690 0.0000  2 Ir 2.80, 2 Sn 3.10
Sn7 0.1692 0.8308 0.0000  2 Ir 2.74
Sn8 0.1995 0.5225 0.1795  2 Ir 2.68-2.79, 1 S 2.74
Sn9 0.1995 0.5225 0.8205  2 Ir 2.68-2.79, 1 S 2.74
Sn10 0.3005 0.0225 0.3205  2 Ir 2.68-2.79, 1 S 2.74
Sn11 0.3005 0.0225 0.6795  2 Ir 2.68-2.79, 1 S 2.74
Sn12 0.3308 0.3308 0.5000  2 Ir 2.74
Sn13 0.3310 0.6690 0.5000  2 Ir 2.80, 2 Sn 3.10
Sn14 0.3943 0.3943 0.0000  6 Sn 3.00-3.29, 2 Ir 3.03
Sn15 0.4775 0.8005 0.1795  2 Ir 2.68-2.79, 1 S 2.74
Sn16 0.4775 0.8005 0.8205  2 Ir 2.68-2.79, 1 S 2.74
Sn17 0.5000 0.5000 0.3118  10 Sn 3.10-3.47, 2 Ir 3.47
Sn18 0.5000 0.5000 0.6882  10 Sn 3.10-3.47, 2 Ir 3.47
Sn19 0.5225 0.1995 0.1795  2 Ir 2.68-2.79, 1 S 2.74
Sn20 0.5225 0.1995 0.8205  2 Ir 2.68-2.79, 1 S 2.74
Sn21 0.6057 0.6057 0.0000  6 Sn 3.00-3.29, 2 Ir 3.03
Sn22 0.6690 0.3310 0.5000  2 Ir 2.80, 2 Sn 3.10
Sn23 0.6692 0.6692 0.5000  2 Ir 2.74
Sn24 0.6995 0.9775 0.3205  2 Ir 2.68-2.79, 1 S 2.74
Sn25 0.6995 0.9775 0.6795  2 Ir 2.68-2.79, 1 S 2.74
Sn26 0.8005 0.4775 0.1795  2 Ir 2.68-2.79, 1 S 2.74
Sn27 0.8005 0.4775 0.8205  2 Ir 2.68-2.79, 1 S 2.74
Sn28 0.8308 0.1692 0.0000  2 Ir 2.74
Sn29 0.8310 0.8310 0.0000  2 Ir 2.80, 2 Sn 3.10
Sn30 0.8943 0.1057 0.5000  6 Sn 3.00-3.29, 2 Ir 3.03
Sn31 0.9775 0.6995 0.3205  2 Ir 2.68-2.79, 1 S 2.74
Sn32 0.9775 0.6995 0.6795  2 Ir 2.68-2.79, 1 S 2.74
Ir1 0.2324 0.7676 0.2592  6 Sn 2.68-2.80
Ir2 0.2324 0.7676 0.7408  6 Sn 2.68-2.80
Ir3 0.2676 0.2676 0.2408  6 Sn 2.68-2.80
Ir4 0.2676 0.2676 0.7592  6 Sn 2.68-2.80
Ir5 0.7324 0.7324 0.2408  6 Sn 2.68-2.80
Ir6 0.7324 0.7324 0.7592  6 Sn 2.68-2.80
Ir7 0.7676 0.2324 0.2592  6 Sn 2.68-2.80
Ir8 0.7676 0.2324 0.7408  6 Sn 2.68-2.80
S1 0.0000 0.5000 0.0000  4 Sn 2.74
S2 0.0000 0.5000 0.5000  4 Sn 2.74
S3 0.5000 0.0000 0.0000  4 Sn 2.74
S4 0.5000 0.0000 0.5000  4 Sn 2.74

Results
M_tot = 0.01 μB/f.u.

---

Entry 7:
TbTlPd2: optimized geometry, GGA-PBE.

Cell: 4.6886 4.6886 3.7143 Å, 90.00 90.00 90.00°
With the nearest neighbours (Å) after each atom.
Positions (direct):
Tb1 0.0000 0.0000 0.0000  8 Pd 2.99, 4 Tl 3.32
Tl1 0.5000 0.5000 0.0000  8 Pd 2.99, 4 Tb 3.32
Pd1 0.0000 0.5000 0.5000  4 Tb 2.99, 4 Tl 2.99, 4 Pd 3.32
Pd2 0.5000 0.0000 0.5000  4 Tb 2.99, 4 Tl 2.99, 4 Pd 3.32

Results
M_tot = 0.00 μB/f.u.

---

Entry 8:
NaInNiPb: optimized geometry, GGA-PBE.

Cell: 4.8792 4.8792 4.8792 Å, 60.00 60.00 60.00°
With the nearest neighbours (Å) after each atom.
Positions (direct):
Na1 0.0000 0.0000 0.0000  4 Pb 2.99, 4 In 2.99
In1 0.2500 0.2500 0.2500  4 Ni 2.99, 4 Na 2.99
Ni1 0.5000 0.5000 0.5000  4 In 2.99, 4 Pb 2.99
Pb1 0.7500 0.7500 0.7500  4 Ni 2.99, 4 Na 2.99

Results
offset from the most stable computed form = 0.0 kJ per mole of atoms
M_tot = 0.00 μB/f.u.

---

no.,DFT total energy (eV per formula unit)
1,-25.09
2,-45.27
3,-13.87
4,-21.65
5,-15.51
6,-54.39
7,-19.57
8,-12.94